1.
Here is GaNi6H2 after structural relaxation from the Alexandria database. Energies are from PBE.

Cell: 9.587 3.585 7.106 Å, 90.00 130.92 90.00°
Space group C2/m (No. 12)
Unique sites:
Ga 0.000 0.000 0.000 (multiplicity 2)
Ni 0.008 0.000 0.336 (multiplicity 4)
Ni 0.164 0.500 0.002 (multiplicity 4)
Ni 0.176 0.500 0.649 (multiplicity 4)
H 0.189 0.000 0.658 (multiplicity 4)

Results
Total magnetic moment = 0.0 μB per formula unit
Raw total energy = -4.87 eV/atom

---

2.
Here is GaNi3H after structural relaxation from the Alexandria database. Energies are from PBE.

Cell: 3.426 3.426 5.794 Å, 90.00 90.00 90.00°
Space group P4mm (No. 99)
Unique sites:
Ga 0.000 0.000 0.000 (multiplicity 1)
Ni 0.000 0.000 0.604 (multiplicity 1)
Ni 0.000 0.500 0.308 (multiplicity 2)
H 0.500 0.500 0.332 (multiplicity 1)

Results
Total magnetic moment = 0.7 μB per formula unit
Polymorph energy (0 for the lowest one) = 0.565 eV/atom

---

3.
Here is GaNi5H after structural relaxation from the Alexandria database. Energies are from PBE.

Cell: 3.500 3.500 5.969 Å, 90.00 90.00 90.00°
Space group P4/mmm (No. 123)
Unique sites:
Ga 0.000 0.000 0.000 (multiplicity 1)
Ni 0.000 0.500 0.304 (multiplicity 4)
Ni 0.500 0.500 0.000 (multiplicity 1)
H 0.500 0.500 0.500 (multiplicity 1)

Results
Total magnetic moment = 1.7 μB per formula unit
Raw total energy = -4.98 eV/atom

---

4.
Here is GaNi5H2 after structural relaxation from the Alexandria database. Energies are from PBE.

Cell: 3.549 3.549 12.078 Å, 90.00 90.00 90.00°
Space group I4/mmm (No. 139)
Unique sites:
Ga 0.000 0.000 0.000 (multiplicity 2)
Ni 0.000 0.000 0.500 (multiplicity 2)
Ni 0.000 0.500 0.150 (multiplicity 8)
H 0.000 0.000 0.336 (multiplicity 4)

Results
Total magnetic moment = 0.0 μB per formula unit
Raw total energy = -4.86 eV/atom

---

5.
Here is GaNi3H after structural relaxation from the Alexandria database. Energies are from PBE.

Cell: 5.098 7.475 5.089 Å, 90.00 90.00 90.00°
Space group Cmcm (No. 63)
Unique sites:
Ga 0.000 0.234 0.250 (multiplicity 4)
Ni 0.000 0.238 0.750 (multiplicity 4)
Ni 0.248 0.500 0.000 (multiplicity 8)
H 0.000 0.457 0.750 (multiplicity 4)

Results
Total magnetic moment = 0.0 μB per formula unit
Polymorph energy (0 for the lowest one) = 0.094 eV/atom

---

6.
Here is GaNi3H after structural relaxation from the Alexandria database. Energies are from PBE.

Cell: 3.597 5.158 5.855 Å, 64.00 89.12 90.00°
Space group P1 (No. 1)
Unique sites:
Ga 0.000 0.000 0.000 (multiplicity 1)
Ga 0.002 0.737 0.525 (multiplicity 1)
Ni 0.498 0.371 0.765 (multiplicity 1)
Ni 0.498 0.864 0.765 (multiplicity 1)
Ni 0.506 0.112 0.259 (multiplicity 1)
Ni 0.506 0.629 0.259 (multiplicity 1)
Ni 0.982 0.503 0.996 (multiplicity 1)
Ni 0.999 0.241 0.518 (multiplicity 1)
H 0.233 0.380 0.240 (multiplicity 1)
H 0.521 0.223 0.553 (multiplicity 1)

Results
Total magnetic moment = 0.0 μB per formula unit
Polymorph energy (0 for the lowest one) = 0.095 eV/atom

---

7.
Here is GaNi3H after structural relaxation from the Alexandria database. Energies are from PBE.

Cell: 2.502 4.823 11.546 Å, 90.00 90.00 90.00°
Space group Amm2 (No. 38)
Unique sites:
Ga 0.000 0.000 0.000 (multiplicity 2)
Ni 0.000 0.241 0.181 (multiplicity 4)
Ni 0.500 0.000 0.826 (multiplicity 2)
H 0.500 0.000 0.655 (multiplicity 2)

Results
Total magnetic moment = 0.0 μB per formula unit
Polymorph energy (0 for the lowest one) = 0.543 eV/atom

---

8.
Here is GaNi3H after structural relaxation from the Alexandria database. Energies are from PBE.

Cell: 2.7405 2.7405 15.6818 Å, 90.00 90.00 120.00°
Space group P6_3/mmc (No. 194)
Unique sites:
Ga 0.0000 0.0000 0.0000 (multiplicity 2)
Ni 0.0000 0.0000 0.2500 (multiplicity 2)
Ni 0.3333 0.6667 0.1206 (multiplicity 4)
H 0.3333 0.6667 0.2500 (multiplicity 2)

Results
Total magnetic moment = 0.0 μB per formula unit
Polymorph energy (0 for the lowest one) = 0.265 eV/atom

---

9.
Here is GaNi3H after structural relaxation from the Alexandria database. Energies are from PBE.

Cell: 4.954 8.179 5.090 Å, 90.00 90.00 90.00°
Space group Cmcm (No. 63)
Unique sites:
Ga 0.000 0.029 0.250 (multiplicity 4)
Ni 0.000 0.500 0.000 (multiplicity 4)
Ni 0.250 0.226 0.750 (multiplicity 8)
H 0.000 0.360 0.750 (multiplicity 4)

Results
Total magnetic moment = 0.0 μB per formula unit
Polymorph energy (0 for the lowest one) = 0.287 eV/atom

---

10.
Here is GaNi3H after structural relaxation from the Alexandria database. Energies are from PBE.

Cell: 4.4649 4.4649 18.1835 Å, 90.00 90.00 120.00°
Space group R-3 (No. 148, hexagonal axes)
Unique sites:
Ga 0.0000 0.0000 0.1664 (multiplicity 6)
Ni 0.0012 0.6610 0.6085 (multiplicity 18)
H 0.0000 0.0000 0.3421 (multiplicity 6)

Results
Total magnetic moment = 0.0 μB per formula unit
Polymorph energy (0 for the lowest one) = 0.223 eV/atom

---

11.
Here is GaNiH3 after structural relaxation from the Alexandria database. Energies are from PBE.

Cell: 3.528 3.528 3.528 Å, 90.00 90.00 90.00°
Space group Pm-3m (No. 221)
Unique sites:
Ga 0.000 0.000 0.000 (multiplicity 1)
Ni 0.500 0.500 0.500 (multiplicity 1)
H 0.000 0.000 0.500 (multiplicity 3)

Results
Total magnetic moment = 0.3 μB per formula unit
Polymorph energy (0 for the lowest one) = 0.545 eV/atom

---

12.
Here is Ga2NiH2 after structural relaxation from the Alexandria database. Energies are from PBE.

Cell: 5.096 5.096 4.045 Å, 90.00 90.00 90.00°
Space group P4/mbm (No. 127)
Unique sites:
Ga 0.190 0.310 0.000 (multiplicity 4)
Ni 0.000 0.000 0.500 (multiplicity 2)
H 0.223 0.277 0.500 (multiplicity 4)

Results
Total magnetic moment = 0.0 μB per formula unit
Polymorph energy (0 for the lowest one) = 0.000 eV/atom

---

13.
Here is Ga2Ni5H2 after structural relaxation from the Alexandria database. Energies are from PBE.

Cell: 3.613 3.613 6.971 Å, 90.00 90.00 90.00°
Space group P4/mmm (No. 123)
Unique sites:
Ga 0.000 0.000 0.000 (multiplicity 1)
Ga 0.000 0.000 0.500 (multiplicity 1)
Ni 0.000 0.500 0.240 (multiplicity 4)
Ni 0.500 0.500 0.500 (multiplicity 1)
H 0.500 0.500 0.236 (multiplicity 2)

Results
Total magnetic moment = 0.0 μB per formula unit
Raw total energy = -4.87 eV/atom

---

14.
Here is GaNi3H after structural relaxation from the Alexandria database. Energies are from PBE.

Cell: 4.606 6.672 6.872 Å, 90.00 90.00 90.00°
Space group Pnma (No. 62)
Unique sites:
Ga 0.000 0.000 0.000 (multiplicity 4)
Ni 0.043 0.071 0.339 (multiplicity 8)
Ni 0.216 0.250 0.683 (multiplicity 4)
H 0.031 0.750 0.492 (multiplicity 4)

Results
Total magnetic moment = 0.0 μB per formula unit
Polymorph energy (0 for the lowest one) = 0.261 eV/atom

---

15.
Here is GaNi3H after structural relaxation from the Alexandria database. Energies are from PBE.

Cell: 6.4000 6.4000 8.4726 Å, 90.00 90.00 120.00°
Space group R-3c (No. 167, hexagonal axes)
Unique sites:
Ga 0.0000 0.0000 0.0000 (multiplicity 6)
Ni 0.0000 0.2587 0.2500 (multiplicity 18)
H 0.0000 0.0000 0.2500 (multiplicity 6)

Results
Total magnetic moment = 0.0 μB per formula unit
Polymorph energy (0 for the lowest one) = 0.283 eV/atom

---

16.
Here is GaNi3H after structural relaxation from the Alexandria database. Energies are from PBE.

Cell: 6.502 4.560 6.665 Å, 90.00 101.00 90.00°
Space group P2_1/c (No. 14)
Unique sites:
Ga 0.082 0.102 0.193 (multiplicity 4)
Ni 0.180 0.597 0.064 (multiplicity 4)
Ni 0.306 0.080 0.935 (multiplicity 4)
Ni 0.441 0.588 0.813 (multiplicity 4)
H 0.437 0.740 0.067 (multiplicity 4)

Results
Total magnetic moment = 0.0 μB per formula unit
Polymorph energy (0 for the lowest one) = 0.127 eV/atom

---

17.
Here is GaNi3H after structural relaxation from the Alexandria database. Energies are from PBE.

Cell: 6.447 4.963 8.104 Å, 90.00 128.66 90.00°
Space group P2_1/c (No. 14)
Unique sites:
Ga 0.215 0.249 0.110 (multiplicity 4)
Ni 0.000 0.000 0.250 (multiplicity 4)
Ni 0.267 0.749 0.128 (multiplicity 4)
Ni 0.459 0.250 0.483 (multiplicity 4)
H 0.221 0.750 0.318 (multiplicity 4)

Results
Total magnetic moment = 0.0 μB per formula unit
Polymorph energy (0 for the lowest one) = 0.195 eV/atom

---

18.
Here is GaNi3H after structural relaxation from the Alexandria database. Energies are from PBE.

Cell: 4.880 12.089 4.431 Å, 90.00 90.00 90.00°
Space group Cmcm (No. 63)
Unique sites:
Ga 0.000 0.178 0.250 (multiplicity 4)
Ni 0.000 0.000 0.000 (multiplicity 4)
Ni 0.244 0.154 0.750 (multiplicity 8)
H 0.000 0.427 0.250 (multiplicity 4)

Results
Total magnetic moment = 0.3 μB per formula unit
Polymorph energy (0 for the lowest one) = 0.474 eV/atom

---

19.
Here is GaNi3H after structural relaxation from the Alexandria database. Energies are from PBE.

Cell: 9.537 9.537 9.537 Å, 90.00 90.00 90.00°
Space group Fd-3m (No. 227, origin choice 2)
Unique sites:
Ga 0.000 0.000 0.000 (multiplicity 16)
Ni 0.066 0.375 0.875 (multiplicity 48)
H 0.000 0.000 0.500 (multiplicity 16)

Results
Total magnetic moment = 0.0 μB per formula unit
Polymorph energy (0 for the lowest one) = 0.211 eV/atom

---

20.
Here is GaNi3H after structural relaxation from the Alexandria database. Energies are from PBE.

Cell: 8.930 5.102 4.497 Å, 90.00 109.30 90.00°
Space group Cm (No. 8)
Unique sites:
Ga 0.000 0.000 0.000 (multiplicity 2)
Ga 0.236 0.500 0.446 (multiplicity 2)
Ni 0.001 0.500 0.971 (multiplicity 2)
Ni 0.248 0.000 0.457 (multiplicity 2)
Ni 0.249 0.254 0.957 (multiplicity 4)
Ni 0.494 0.250 0.481 (multiplicity 4)
H 0.134 0.000 0.672 (multiplicity 2)
H 0.373 0.000 0.205 (multiplicity 2)

Results
Total magnetic moment = 0.0 μB per formula unit
Polymorph energy (0 for the lowest one) = 0.084 eV/atom